Record 1
Density functional theory data (GGA-PBEsol) for a relaxed BeCo2O4 crystal.

Cell lengths 2.855, 8.886, 9.138 Å; angles 90.00, 90.00, 90.00 degrees
Atoms (fractional coordinates):
Be1 0.250 0.357 0.105
Be2 0.750 0.143 0.605
Be3 0.250 0.857 0.395
Be4 0.750 0.643 0.895
Co1 0.250 0.369 0.794
Co2 0.250 0.383 0.427
Co3 0.750 0.117 0.927
Co4 0.750 0.131 0.294
Co5 0.250 0.869 0.706
Co6 0.250 0.883 0.073
Co7 0.750 0.617 0.573
Co8 0.750 0.631 0.206
O1 0.250 0.482 0.615
O2 0.250 0.526 0.125
O3 0.750 0.233 0.748
O4 0.250 0.252 0.968
O5 0.750 0.248 0.468
O6 0.250 0.267 0.248
O7 0.750 0.974 0.625
O8 0.750 0.018 0.115
O9 0.250 0.982 0.885
O10 0.250 0.026 0.375
O11 0.750 0.733 0.752
O12 0.250 0.752 0.532
O13 0.750 0.748 0.032
O14 0.250 0.767 0.252
O15 0.750 0.474 0.875
O16 0.750 0.518 0.385

Summary:
- offset from the most stable computed form (meV/atom) = 74
- space-group type = Pnma, No. 62
- spin magnetization (μB/cell) = 0.0



Record 2
Density functional theory data (GGA-PBEsol) for a relaxed BeCo2O4 crystal.

Cell lengths 5.409, 5.409, 5.409 Å; angles 60.00, 60.00, 60.00 degrees
Atoms (fractional coordinates):
Be1 0.500 0.500 0.500
Be2 0.750 0.750 0.750
Co1 0.125 0.625 0.125
Co2 0.625 0.125 0.125
Co3 0.125 0.125 0.625
Co4 0.125 0.125 0.125
O1 0.878 0.878 0.878
O2 0.372 0.372 0.884
O3 0.372 0.884 0.372
O4 0.878 0.878 0.366
O5 0.366 0.878 0.878
O6 0.372 0.372 0.372
O7 0.884 0.372 0.372
O8 0.878 0.366 0.878

Summary:
- offset from the most stable computed form (meV/atom) = 0
- space-group type = Fd-3m, No. 227
- spin magnetization (μB/cell) = 0.0



Record 3
Density functional theory data (GGA-PBEsol) for a relaxed BeCoTeO2 crystal.

Cell lengths 3.983, 3.983, 4.725 Å; angles 90.00, 90.00, 90.00 degrees
Last column: magnetic moment on the atom in μB.
Atoms (fractional coordinates):
Be1 0.000 0.000 0.500  -0.03
Te1 0.000 0.000 0.000  0.02
Co1 0.500 0.500 0.500  2.19
O1 0.000 0.500 0.000  0.04
O2 0.500 0.000 0.000  0.04

Summary:
- energy (eV per atom) = -4.564
- space-group type = P4/mmm, No. 123
- spin magnetization (μB/cell) = 2.3



Record 4
Density functional theory data (GGA-PBEsol) for a relaxed BeCoOs2 crystal.

Cell lengths 2.597, 2.597, 8.090 Å; angles 90.00, 90.00, 116.12 degrees
Last column: magnetic moment on the atom in μB.
Atoms (fractional coordinates):
Co1 0.500 0.500 0.000  1.62
Os1 0.000 0.000 0.262  0.26
Os2 0.000 0.000 0.738  0.26
Be1 0.500 0.500 0.500  0.00

Summary:
- energy (eV per atom) = -8.713
- space-group type = Cmmm, No. 65
- spin magnetization (μB/cell) = 2.1



Record 5
Density functional theory data (GGA-PBEsol) for a relaxed BeCoOs2 crystal.

Cell lengths 2.772, 4.212, 4.769 Å; angles 116.20, 106.89, 90.00 degrees
Last column: magnetic moment on the atom in μB.
Atoms (fractional coordinates):
Co1 0.000 0.500 0.000  0.26
Os1 0.783 0.783 0.566  0.00
Os2 0.217 0.217 0.434  0.00
Be1 0.500 0.000 0.000  0.00

Summary:
- energy (eV per atom) = -8.853
- space-group type = Immm, No. 71
- spin magnetization (μB/cell) = 0.3



Record 6
Density functional theory data (GGA-PBEsol) for a relaxed BeCoOs2 crystal.

Cell lengths 2.641, 2.641, 8.105 Å; angles 80.62, 80.62, 60.00 degrees
Last column: magnetic moment on the atom in μB.
Atoms (fractional coordinates):
Co1 0.000 0.000 0.000  0.94
Os1 0.248 0.248 0.255  0.01
Os2 0.752 0.752 0.745  0.01
Be1 0.500 0.500 0.500  0.00

Summary:
- energy (eV per atom) = -8.875
- space-group type = R-3m, No. 166
- spin magnetization (μB/cell) = 1.0



Record 7
Density functional theory data (GGA-PBEsol) for a relaxed BeCoOs2 crystal.

Cell lengths 2.767, 4.058, 4.722 Å; angles 115.44, 107.04, 90.00 degrees
Last column: magnetic moment on the atom in μB.
Atoms (fractional coordinates):
Co1 0.221 0.221 0.441  0.50
Os1 0.996 0.496 0.992  -0.01
Os2 0.772 0.772 0.544  -0.02
Be1 0.511 0.011 0.023  0.00

Summary:
- energy (eV per atom) = -9.088
- space-group type = Imm2, No. 44
- spin magnetization (μB/cell) = 0.5



Record 8
Density functional theory data (GGA-PBEsol) for a relaxed BeCoOs2 crystal.

Cell lengths 2.633, 4.315, 4.521 Å; angles 99.70, 90.00, 107.77 degrees
Atoms (fractional coordinates):
Co1 0.500 0.000 0.000
Os1 0.754 0.507 0.747
Os2 0.246 0.493 0.253
Be1 0.000 0.000 0.500

Summary:
- energy (eV per atom) = -8.884
- space-group type = C2/m, No. 12
- spin magnetization (μB/cell) = 0.0



Record 9
Density functional theory data (GGA-PBEsol) for a relaxed BeCoP crystal.

Cell lengths 3.586, 3.586, 3.586 Å; angles 60.00, 60.00, 60.00 degrees
Atoms (fractional coordinates):
P1 0.000 0.000 0.000
Co1 0.250 0.250 0.250
Be1 0.500 0.500 0.500

Summary:
- offset from the most stable computed form (meV/atom) = 0
- space-group type = F-43m, No. 216
- spin magnetization (μB/cell) = 0.0



Record 10
Density functional theory data (GGA-PBEsol) for a relaxed BeCoP crystal.

Cell lengths 3.532, 3.532, 3.532 Å; angles 60.00, 60.00, 60.00 degrees
Atoms (fractional coordinates):
P1 0.500 0.500 0.500
Co1 0.000 0.000 0.000
Be1 0.250 0.250 0.250

Summary:
- offset from the most stable computed form (meV/atom) = 279
- space-group type = F-43m, No. 216
- spin magnetization (μB/cell) = 0.0



Record 11
Density functional theory data (GGA-PBEsol) for a relaxed Be2CoP crystal.

Cell lengths 2.618, 3.933, 3.933 Å; angles 112.25, 90.00, 90.00 degrees
Atoms (fractional coordinates):
P1 0.500 0.500 0.500
Co1 0.500 0.000 0.000
Be1 0.000 0.500 0.000
Be2 0.000 0.000 0.500

Summary:
- energy (eV per atom) = -5.538
- space-group type = Cmmm, No. 65
- spin magnetization (μB/cell) = 0.0



Record 12
Density functional theory data (GGA-PBEsol) for a relaxed Be2CoP crystal.

Cell lengths 2.520, 3.833, 4.070 Å; angles 97.20, 108.04, 90.00 degrees
Atoms (fractional coordinates):
P1 0.000 0.500 0.000
Co1 0.500 0.000 0.000
Be1 0.243 0.240 0.486
Be2 0.757 0.760 0.514

Summary:
- energy (eV per atom) = -5.509
- space-group type = C2/m, No. 12
- spin magnetization (μB/cell) = 0.0



Record 13
Density functional theory data (GGA-PBEsol) for a relaxed BeCo2P crystal.

Cell lengths 3.548, 3.825, 3.552 Å; angles 117.66, 90.00, 117.63 degrees
Atoms (fractional coordinates):
P1 0.500 0.000 0.000
Co1 0.752 0.504 0.752
Co2 0.248 0.496 0.248
Be1 0.000 0.000 0.500

Summary:
- offset from the most stable computed form (meV/atom) = 0
- space-group type = Immm, No. 71
- spin magnetization (μB/cell) = 0.0



Record 14
Density functional theory data (GGA-PBEsol) for a relaxed BeCo2P crystal.

Cell lengths 2.956, 3.530, 3.530 Å; angles 90.00, 90.00, 90.00 degrees
Atoms (fractional coordinates):
P1 0.500 0.500 0.500
Co1 0.000 0.000 0.500
Co2 0.000 0.500 0.000
Be1 0.500 0.000 0.000

Summary:
- offset from the most stable computed form (meV/atom) = 27
- space-group type = P4/mmm, No. 123
- spin magnetization (μB/cell) = 0.0



Record 15
Density functional theory data (GGA-PBEsol) for a relaxed Be2Co2P crystal.

Cell lengths 3.293, 5.511, 5.511 Å; angles 90.00, 90.00, 90.00 degrees
Atoms (fractional coordinates):
P1 0.000 0.000 0.000
P2 0.000 0.500 0.500
Co1 0.000 0.344 0.844
Co2 0.000 0.844 0.656
Co3 0.000 0.656 0.156
Co4 0.000 0.156 0.344
Be1 0.500 0.143 0.643
Be2 0.500 0.643 0.857
Be3 0.500 0.857 0.357
Be4 0.500 0.357 0.143

Summary:
- energy (eV per atom) = -6.121
- space-group type = P4/mbm, No. 127
- spin magnetization (μB/cell) = 0.0



Record 16
Density functional theory data (GGA-PBEsol) for a relaxed BeCo2P crystal.

Cell lengths 2.561, 3.788, 4.276 Å; angles 99.82, 90.00, 109.76 degrees
Atoms (fractional coordinates):
P1 0.000 0.000 0.500
Co1 0.745 0.490 0.747
Co2 0.255 0.510 0.253
Be1 0.500 0.000 0.000

Summary:
- offset from the most stable computed form (meV/atom) = 211
- space-group type = C2/m, No. 12
- spin magnetization (μB/cell) = 0.0



Record 17
Density functional theory data (GGA-PBEsol) for a relaxed YBeCoP2 crystal.

Cell lengths 3.924, 4.413, 4.413 Å; angles 90.00, 90.00, 90.00 degrees
Atoms (fractional coordinates):
Y1 0.500 0.500 0.500
P1 0.000 0.000 0.500
P2 0.000 0.500 0.000
Co1 0.000 0.000 0.000
Be1 0.500 0.000 0.000

Summary:
- energy (eV per atom) = -6.330
- space-group type = P4/mmm, No. 123
- spin magnetization (μB/cell) = 0.0



Record 18
Density functional theory data (GGA-PBEsol) for a relaxed BeCoPb2 crystal.

Cell lengths 3.684, 3.684, 6.845 Å; angles 74.39, 74.39, 60.00 degrees
Atoms (fractional coordinates):
Pb1 0.969 0.969 0.093
Pb2 0.781 0.781 0.656
Be1 0.540 0.540 0.379
Co1 0.209 0.209 0.372

Summary:
- energy (eV per atom) = -4.689
- space-group type = R3m, No. 160
- spin magnetization (μB/cell) = 0.0



Record 19
Density functional theory data (GGA-PBEsol) for a relaxed Be3CoPb crystal.

Cell lengths 4.522, 4.522, 4.522 Å; angles 90.00, 90.00, 90.00 degrees
Last column: magnetic moment on the atom in μB.
Atoms (fractional coordinates):
Pb1 0.000 0.000 0.000  0.01
Be1 0.000 0.500 0.000  -0.03
Be2 0.000 0.000 0.500  -0.03
Be3 0.500 0.000 0.000  -0.03
Co1 0.500 0.500 0.500  1.86

Summary:
- energy (eV per atom) = -2.895
- space-group type = Pm-3m, No. 221
- spin magnetization (μB/cell) = 1.6



Record 20
Density functional theory data (GGA-PBEsol) for a relaxed BeCoPb2 crystal.

Cell lengths 3.811, 3.811, 5.774 Å; angles 109.27, 109.27, 90.00 degrees
Last column: magnetic moment on the atom in μB.
Atoms (fractional coordinates):
Pb1 0.000 0.000 0.000  0.00
Pb2 0.750 0.250 0.500  -0.01
Be1 0.500 0.500 0.000  0.00
Co1 0.250 0.750 0.500  0.88

Summary:
- energy (eV per atom) = -4.189
- space-group type = I-4m2, No. 119
- spin magnetization (μB/cell) = 0.8